Density functional theory data (PBE) for an optimized crystal structure of V6GaMo.

Its space group is Amm2.

Lattice parameters (Å, degrees): 4.2260 5.2560 5.2560 108.73 90.00 90.00
Element x y z (fractional)
1 V 0.0000 0.6277 0.3723
2 V 0.0000 0.1233 0.3736
3 V 0.5000 0.8816 0.1184
4 V 0.5000 0.3972 0.1464
5 V 0.0000 0.6264 0.8767
6 V 0.5000 0.8536 0.6028
7 Mo 0.5000 0.3665 0.6335
8 Ga 0.0000 0.1234 0.8766

Density functional theory data (PBE) for an optimized crystal structure of V3GaMo.

The calculation puts the energy above the most stable polymorph in this dataset at 0 meV/atom. Its space group is C2/m.

Lattice parameters (Å, degrees): 4.3483 5.2440 6.8404 104.41 108.53 90.00
Element x y z (fractional)
1 V 0.8089 0.2460 0.6178
2 V 0.1911 0.7540 0.3822
3 V 0.0025 0.2639 0.0050
4 V 0.5983 0.4693 0.1966
5 V 0.4017 0.5307 0.8034
6 V 0.9975 0.7361 0.9950
7 Mo 0.8034 0.7195 0.6068
8 Mo 0.1966 0.2805 0.3932
9 Ga 0.3974 0.0370 0.7948
10 Ga 0.6026 0.9630 0.2052

Density functional theory data (PBE) for an optimized crystal structure of V4Ga2Mo3.

Its space group is P2_1/c.

Lattice parameters (Å, degrees): 4.9724 7.8772 7.7534 90.00 90.00 119.29
Element x y z (fractional)
1 Mo 0.5252 0.2080 0.8437
2 Mo 0.5000 0.5000 0.0000
3 Mo 0.0252 0.2080 0.6563
4 Mo 0.9748 0.7920 0.3437
5 Mo 0.0000 0.5000 0.5000
6 Mo 0.4748 0.7920 0.1563
7 Ga 0.5262 0.8371 0.5020
8 Ga 0.4738 0.1629 0.4980
9 Ga 0.9738 0.1629 0.0020
10 Ga 0.0262 0.8371 0.9980
11 V 0.4775 0.1364 0.1667
12 V 0.0225 0.8636 0.6667
13 V 0.5225 0.8636 0.8333
14 V 0.9458 0.4596 0.1604
15 V 0.0542 0.5404 0.8396
16 V 0.5542 0.5404 0.6604
17 V 0.4458 0.4596 0.3396
18 V 0.9775 0.1364 0.3333

Density functional theory data (PBE) for an optimized crystal structure of VGa4Mo2.

Its space group is I4/mmm.

Lattice parameters (Å, degrees): 4.7933 4.7933 7.1781 70.50 70.50 90.00
Element x y z (fractional)
1 Ga 0.0000 0.5000 0.0000
2 Ga 0.1955 0.1955 0.6090
3 Ga 0.8045 0.8045 0.3910
4 Ga 0.5000 0.0000 0.0000
5 Mo 0.5904 0.5904 0.8192
6 Mo 0.4096 0.4096 0.1808
7 V 0.0000 0.0000 0.0000

Density functional theory data (PBE) for an optimized crystal structure of V8Ga6Mo.

Its space group is R-3.

Lattice parameters (Å, degrees): 7.1869 7.1869 6.5716 56.85 56.85 60.00
Element x y z (fractional)
1 V 0.3789 0.8857 0.6313
2 V 0.7538 0.7538 0.7385
3 V 0.1041 0.3789 0.6313
4 V 0.8959 0.6211 0.3687
5 V 0.1143 0.8959 0.3687
6 V 0.8857 0.1041 0.6313
7 V 0.2462 0.2462 0.2615
8 V 0.6211 0.1143 0.3687
9 Ga 0.1313 0.6291 0.8352
10 Ga 0.8687 0.3709 0.1648
11 Ga 0.6291 0.4043 0.8352
12 Ga 0.3709 0.5957 0.1648
13 Ga 0.5957 0.8687 0.1648
14 Ga 0.4043 0.1313 0.8352
15 Mo 0.0000 0.0000 0.0000

Density functional theory data (PBE) for an optimized crystal structure of V2GaMo.

Its space group is R3m.

Lattice parameters (Å, degrees): 2.9325 2.9325 8.3412 79.88 79.88 60.00
Element x y z (fractional)
1 V 0.0874 0.0874 0.7379
2 V 0.2459 0.2459 0.2622
3 Ga 0.6667 0.6667 0.9998
4 Mo 0.5000 0.5000 0.5001

Density functional theory data (PBE) for an optimized crystal structure of V7Ga3Mo.

Its space group is Cmcm.

Lattice parameters (Å, degrees): 2.7203 9.6887 12.4358 90.00 90.00 98.07
Element x y z (fractional)
1 V 0.7772 0.5543 0.5761
2 V 0.3490 0.6981 0.1131
3 V 0.2228 0.4457 0.4239
4 V 0.5273 0.0546 0.5855
5 V 0.7772 0.5543 0.9239
6 V 0.6510 0.3019 0.6131
7 V 0.3490 0.6981 0.3869
8 V 0.6510 0.3019 0.8869
9 V 0.3786 0.7572 0.7500
10 V 0.6214 0.2428 0.2500
11 V 0.4727 0.9454 0.0855
12 V 0.2228 0.4457 0.0761
13 V 0.5273 0.0546 0.9145
14 V 0.4727 0.9454 0.4145
15 Ga 0.9078 0.8157 0.5703
16 Ga 0.9078 0.8157 0.9297
17 Ga 0.0922 0.1843 0.0703
18 Ga 0.7621 0.5242 0.2500
19 Ga 0.0922 0.1843 0.4297
20 Ga 0.2379 0.4758 0.7500
21 Mo 0.9807 0.9613 0.2500
22 Mo 0.0193 0.0387 0.7500

Density functional theory data (PBE) for an optimized crystal structure of V2GaMo.

Its space group is I-42d.

Lattice parameters (Å, degrees): 6.9102 6.9102 5.5436 51.45 51.45 90.00
Element x y z (fractional)
1 Ga 0.5000 0.5000 0.0000
2 Ga 0.2500 0.7500 0.5000
3 V 0.6429 0.1250 0.2500
4 V 0.8750 0.8929 0.7500
5 V 0.1071 0.6250 0.2500
6 V 0.3750 0.3571 0.7500
7 Mo 0.7500 0.2500 0.5000
8 Mo 0.0000 0.0000 0.0000

One value per record, in order, for volume: 13.820 14.270 14.714 20.768 15.197 15.206 14.750 15.629 A^3/atom.
One value per record, in order, for E_form: -0.11 -0.09 0.03 0.67 0.01 0.17 0.15 0.49 eV per atom.